Record 1
# Dy2Y6Th, relaxed, DFT PBE-GGA
data_Dy2Y6Th
_space_group_name_H-M_alt 'C 1 2/c 1'
_space_group_IT_number 15
_cell_length_a 16.423
_cell_length_b 11.277
_cell_length_c 6.484
_cell_angle_alpha 90.00
_cell_angle_beta 99.79
_cell_angle_gamma 90.00
loop_
_space_group_symop_operation_xyz
'x,y,z'
'-x,-y,-z'
'-x,y,-z+1/2'
'x,-y,z+1/2'
'x+1/2,y+1/2,z'
'-x+1/2,-y+1/2,-z'
'-x+1/2,y+1/2,-z+1/2'
'x+1/2,-y+1/2,z+1/2'
loop_
_atom_site_label
_atom_site_type_symbol
_atom_site_fract_x
_atom_site_fract_y
_atom_site_fract_z
Dy1 Dy 0.190 0.040 0.405
Y1 Y 0.021 0.143 0.009
Y2 Y 0.131 0.377 0.262
Y3 Y 0.179 0.260 0.775
Th1 Th 0.000 0.399 0.750
# ΔH_f (0 K) in eV/atom: 0.155


Record 2
# Dy2Y3Th, relaxed, DFT PBE-GGA
data_Dy2Y3Th
_space_group_name_H-M_alt 'C m c 21'
_space_group_IT_number 36
_cell_length_a 9.424
_cell_length_b 12.436
_cell_length_c 6.775
_cell_angle_alpha 90.00
_cell_angle_beta 90.00
_cell_angle_gamma 90.00
loop_
_space_group_symop_operation_xyz
'x,y,z'
'-x,-y,z+1/2'
'-x,y,z'
'x,-y,z+1/2'
'x+1/2,y+1/2,z'
'-x+1/2,-y+1/2,z+1/2'
'-x+1/2,y+1/2,z'
'x+1/2,-y+1/2,z+1/2'
loop_
_atom_site_label
_atom_site_type_symbol
_atom_site_fract_x
_atom_site_fract_y
_atom_site_fract_z
Dy1 Dy 0.174 0.159 0.000
Y1 Y 0.000 0.359 0.250
Y2 Y 0.173 0.105 0.497
Th1 Th 0.000 0.351 0.745
# ΔH_f (0 K) in eV/atom: 0.233


Record 3
# Dy2Y5Th2, relaxed, DFT PBE-GGA
data_Dy2Y5Th2
_space_group_name_H-M_alt 'C 1 2/m 1'
_space_group_IT_number 12
_cell_length_a 23.043
_cell_length_b 3.493
_cell_length_c 8.261
_cell_angle_alpha 90.00
_cell_angle_beta 102.79
_cell_angle_gamma 90.00
loop_
_space_group_symop_operation_xyz
'x,y,z'
'-x,-y,-z'
'-x,y,-z'
'x,-y,z'
'x+1/2,y+1/2,z'
'-x+1/2,-y+1/2,-z'
'-x+1/2,y+1/2,-z'
'x+1/2,-y+1/2,z'
loop_
_atom_site_label
_atom_site_type_symbol
_atom_site_fract_x
_atom_site_fract_y
_atom_site_fract_z
Dy1 Dy 0.159 0.000 0.183
Y1 Y 0.000 0.000 0.000
Y2 Y 0.090 0.000 0.734
Y3 Y 0.195 0.500 0.560
Th1 Th 0.052 0.500 0.361
# ΔH_f (0 K) in eV/atom: 0.296


Record 4
# Dy5Y4Th2, relaxed, DFT PBE-GGA
data_Dy5Y4Th2
_space_group_name_H-M_alt 'P 1 2/m 1'
_space_group_IT_number 10
_cell_length_a 8.807
_cell_length_b 3.499
_cell_length_c 11.746
_cell_angle_alpha 90.00
_cell_angle_beta 93.97
_cell_angle_gamma 90.00
loop_
_space_group_symop_operation_xyz
'x,y,z'
'-x,-y,-z'
'-x,y,-z'
'x,-y,z'
loop_
_atom_site_label
_atom_site_type_symbol
_atom_site_fract_x
_atom_site_fract_y
_atom_site_fract_z
Dy1 Dy 0.000 0.000 0.000
Dy2 Dy 0.075 0.000 0.288
Dy3 Dy 0.300 0.000 0.836
Y1 Y 0.195 0.500 0.547
Y2 Y 0.343 0.500 0.106
Th1 Th 0.463 0.000 0.366
# ΔH_f (0 K) in eV/atom: 0.137


Calculated raw total energy, -6.001; -5.769; -5.967; -5.655 eV per atom (same order as the records).
Calculated ΔE to the lowest computed polymorph, 0.000; 0.195; 0.035; 0.000 eV per atom (same order as the records).